[1]
Below is an optimized crystal structure of BaZr2Cl, with properties calculated at the PBE level.

abc: 7.1825 7.1825 5.1460
angles: 68.68 68.68 26.50
Element x y z (fractional)
Zr  0.5347  0.5347  0.4729
Zr  0.9653  0.9653  0.0271
Ba  0.7500  0.7500  0.7500
Cl  0.2500  0.2500  0.2500

Results
* offset from the most stable computed form: 121.9 meV per atom
* magnetic moment: 0.00 μB per atom
* mass density: 5.4 g/cm3
* N(E_F): 1.303 states/eV/atom
* uncorrected formation energy: -0.19 eV per atom
* space group: C2/m, No. 12



[2]
Below is an optimized crystal structure of NpNb2In, with properties calculated at the PBE level.

abc: 3.2654 3.2654 9.1049
angles: 79.67 79.67 60.00
Each line ends with the local moment (μB).
Element x y z (fractional)
Np  0.0000  0.0000  0.0000  3.05
Nb  0.2554  0.2554  0.2339  0.04
Nb  0.7446  0.7446  0.7661  0.04
In  0.5000  0.5000  0.5000  0.00

Results
* offset from the most stable computed form: 232.6 meV per atom
* magnetic moment: 0.79 μB per atom
* mass density: 10.9 g/cm3
* N(E_F): 1.796 states/eV/atom
* DFT formation energy: 447 meV/atom
* space group: R-3m, No. 166



[3]
Below is an optimized crystal structure of GaPb6Au4, with properties calculated at the PBE level.

abc: 7.1516 9.8081 9.8081
angles: 120.00 90.00 90.00
Element x y z (fractional)
Pb  0.1370  0.4666  0.9331
Pb  0.9448  0.8548  0.7096
Pb  0.4448  0.1452  0.2904
Pb  0.9448  0.8548  0.1452
Pb  0.4448  0.7096  0.8548
Pb  0.9448  0.2904  0.1452
Pb  0.6370  0.5334  0.4666
Pb  0.1370  0.0669  0.5334
Pb  0.1370  0.4666  0.5334
Pb  0.6370  0.5334  0.0669
Pb  0.6370  0.9331  0.4666
Pb  0.4448  0.1452  0.8548
Au  0.8517  0.6321  0.8160
Au  0.9163  0.6667  0.3333
Au  0.3517  0.3679  0.1840
Au  0.4163  0.3333  0.6667
Au  0.3517  0.8160  0.6321
Au  0.3517  0.8160  0.1840
Au  0.8517  0.1840  0.3679
Au  0.8517  0.1840  0.8160
Ga  0.2752  0.6667  0.3333
Ga  0.7752  0.3333  0.6667

Results
* magnetic moment: 0.00 μB per atom
* mass density: 11.7 g/cm3
* N(E_F): 0.451 states/eV/atom
* DFT formation energy: -80 meV/atom
* space group: P6_3mc, No. 186



Repeat the second record exactly.
Below is an optimized crystal structure of NpNb2In, with properties calculated at the PBE level.

abc: 3.2654 3.2654 9.1049
angles: 79.67 79.67 60.00
Each line ends with the local moment (μB).
Element x y z (fractional)
Np  0.0000  0.0000  0.0000  3.05
Nb  0.2554  0.2554  0.2339  0.04
Nb  0.7446  0.7446  0.7661  0.04
In  0.5000  0.5000  0.5000  0.00

Results
* offset from the most stable computed form: 232.6 meV per atom
* magnetic moment: 0.79 μB per atom
* mass density: 10.9 g/cm3
* N(E_F): 1.796 states/eV/atom
* DFT formation energy: 447 meV/atom
* space group: R-3m, No. 166